First-principles (PBE) data for crystalline NdSm2Y8 at its relaxed geometry, as listed in Alexandria via LeMat-Bulk.

Output
For the energy above the most stable polymorph in this dataset, the calculation gives 0 meV/atom. The calculation puts the mass density at 5.08 g/cm3. As for the formation energy: 0.149 eV per atom. The calculation puts the total magnetization at 0.00 μB per cell. The space group is No. 12.

Lattice parameters (Å, degrees): 5.6062 10.2065 10.2065 40.39 92.79 92.79
Closest atoms and distances in Å follow each position.
Element x y z (fractional)
Nd: 0.0000 0.0000 0.0000  10 Y 3.54-3.85
Sm: 0.7504 0.2843 0.2843  9 Y 3.23-3.61
Sm: 0.2496 0.7157 0.7157  9 Y 3.23-3.61
Y: 0.2692 0.1341 0.6027  4 Y 3.30-3.57, 3 Sm 3.47-3.65, 1 Nd 3.54
Y: 0.2692 0.6027 0.1341  4 Y 3.30-3.57, 3 Sm 3.47-3.65, 1 Nd 3.54
Y: 0.7308 0.8659 0.3973  4 Y 3.30-3.57, 3 Sm 3.47-3.65, 1 Nd 3.54
Y: 0.2364 0.5470 0.5470  1 Y 3.13, 1 Sm 3.23
Y: 0.7308 0.3973 0.8659  4 Y 3.30-3.57, 3 Sm 3.47-3.65, 1 Nd 3.54
Y: 0.2331 0.1871 0.1871  4 Sm 3.36-3.57, 4 Y 3.50-3.57, 1 Nd 3.75
Y: 0.7669 0.8129 0.8129  4 Sm 3.36-3.57, 4 Y 3.50-3.57, 1 Nd 3.75
Y: 0.7636 0.4530 0.4530  1 Y 3.13, 1 Sm 3.23